## KSrMo2Cl (PBE)

Data for crystalline KSrMo2Cl at its relaxed geometry.

Results
D(E_F): 3.972 states/eV/cell
V: 77.925 Å³ per atom
calculated total energy: -3.3656 eV per atom
magnetization: 1.813 μB per atom
raw formation energy: 43.6 kcal/mol of atoms
crystal system: tetragonal

Unit cell a=5.764 b=5.764 c=11.727 alpha=90.00 beta=90.00 gamma=90.00
Space group P4/mmm (No. 123)
Symmetry-distinct sites (fractional):
K  0.000  0.000  0.000 (multiplicity 1)
Sr  0.000  0.000  0.500 (multiplicity 1)
Mo  0.000  0.500  0.500 (multiplicity 2)
Cl  0.500  0.500  0.000 (multiplicity 1)